Record 1
A plane-wave DFT calculation with PBE was carried out for a relaxed structure of La3Zn9Ru2.

Calculated values
- formation enthalpy at 0 K (eV per atom) = -0.291

Unit cell a=8.180 b=8.180 c=8.180 alpha=148.15 beta=107.45 gamma=81.41
Positions (direct):
La1 0.000 0.000 0.000
La2 0.304 0.304 0.000
La3 0.696 0.696 0.000
Zn1 0.005 0.655 0.351
Zn2 0.164 0.882 0.282
Zn3 0.304 0.655 0.649
Zn4 0.401 0.118 0.282
Zn5 0.500 0.000 0.500
Zn6 0.599 0.882 0.718
Zn7 0.696 0.345 0.351
Zn8 0.836 0.118 0.718
Zn9 0.995 0.345 0.649
Ru1 0.336 0.500 0.836
Ru2 0.664 0.500 0.164

---

Record 2
A plane-wave DFT calculation with PBE was carried out for a relaxed structure of Sn2GePb3Se6.

Calculated values
- energy relative to the elements, uncorrected (eV/f.u.) = -5.4

Unit cell a=9.610 b=9.610 c=8.602 alpha=103.08 beta=103.08 gamma=25.79
Positions (direct):
Sn1 0.165 0.165 0.331
Sn2 0.835 0.835 0.669
Ge1 0.500 0.500 0.000
Pb1 0.167 0.167 0.835
Pb2 0.500 0.500 0.500
Pb3 0.833 0.833 0.165
Se1 0.000 0.000 0.233
Se2 0.000 0.000 0.767
Se3 0.332 0.332 0.420
Se4 0.342 0.342 0.914
Se5 0.658 0.658 0.086
Se6 0.668 0.668 0.580

---

Record 3
A plane-wave DFT calculation with PBE was carried out for a relaxed structure of BaLa2Pm.

Calculated values
- formation enthalpy at 0 K (eV per atom) = 0.176
- energy above the lowest structure with this stoichiometry (meV per atom) = 82.6

Unit cell a=5.403 b=5.403 c=5.451 alpha=90.00 beta=90.00 gamma=90.00
Positions (direct):
Ba1 0.000 0.000 0.000
La1 0.000 0.500 0.500
La2 0.500 0.000 0.500
Pm1 0.500 0.500 0.000

---

Record 4
A plane-wave DFT calculation with PBE was carried out for a relaxed structure of NaLa5Zn4.

Calculated values
- formation enthalpy at 0 K (eV per atom) = -0.212

Unit cell a=3.751 b=3.751 c=20.493 alpha=90.00 beta=90.00 gamma=90.00
Positions (direct):
Na1 0.000 0.000 0.000
La1 0.500 0.500 0.137
La2 0.500 0.500 0.316
La3 0.500 0.500 0.500
La4 0.500 0.500 0.684
La5 0.500 0.500 0.863
Zn1 0.000 0.000 0.223
Zn2 0.000 0.000 0.407
Zn3 0.000 0.000 0.593
Zn4 0.000 0.000 0.777

---

Table of VASP energy (eV per atom), in record order: -3.4909, -4.1698, -3.9556, -3.3170